Below is Ho3BiC2 after structural relaxation, with properties calculated at the GGA-PBE level.

ΔE_f ... -0.198 eV/atom

a b c (Å): 6.498 3.652 11.111
angles (deg): 90.00 102.03 90.00
Space group P2_1/m (No. 11)
Asymmetric unit:
Ho1 0.037 0.250 0.371
Ho2 0.200 0.750 0.084
Ho3 0.447 0.250 0.610
Bi1 0.264 0.250 0.848
C1 0.013 0.250 0.140
C2 0.252 0.750 0.492

Below is Ho4BiC2 after structural relaxation, with properties calculated at the GGA-PBE level.

Energy above the most stable polymorph in this dataset ... 0 meV per atom
ΔE_f ... -0.453 eV/atom

a b c (Å): 3.786 12.418 12.924
angles (deg): 90.00 90.00 90.00
Space group Cmcm (No. 63)
Asymmetric unit:
Ho1 0.000 0.000 0.000
Ho2 0.000 0.259 0.100
Ho3 0.000 0.412 0.750
Bi1 0.000 0.110 0.750
C1 0.000 0.363 0.558

Below is Ho3Bi2C after structural relaxation, with properties calculated at the GGA-PBE level.

ΔE_f ... -0.549 eV/atom

a b c (Å): 14.453 6.347 7.132
angles (deg): 90.00 104.15 90.00
Space group C2/c (No. 15)
Asymmetric unit:
Ho1 0.000 0.080 0.250
Ho2 0.117 0.491 0.562
Bi1 0.182 0.012 0.088
C1 0.000 0.447 0.250

Below is Ho5Bi5C after structural relaxation, with properties calculated at the GGA-PBE level.

ΔE_f ... -0.463 eV/atom

a b c (Å): 12.911 6.033 9.203
angles (deg): 90.00 116.45 90.00
Space group C2/m (No. 12)
Asymmetric unit:
Ho1 0.000 0.000 0.000
Ho2 0.145 0.500 0.898
Ho3 0.152 0.500 0.276
Bi1 0.000 0.500 0.500
Bi2 0.113 0.000 0.762
Bi3 0.216 0.000 0.336
C1 0.000 0.500 0.000

Which formula does entry 3 have?
Ho3Bi2C

What is the formula in the fourth record?
Ho5Bi5C

What did the second record say?
Below is Ho4BiC2 after structural relaxation, with properties calculated at the GGA-PBE level.

Energy above the most stable polymorph in this dataset ... 0 meV per atom
ΔE_f ... -0.453 eV/atom

a b c (Å): 3.786 12.418 12.924
angles (deg): 90.00 90.00 90.00
Space group Cmcm (No. 63)
Asymmetric unit:
Ho1 0.000 0.000 0.000
Ho2 0.000 0.259 0.100
Ho3 0.000 0.412 0.750
Bi1 0.000 0.110 0.750
C1 0.000 0.363 0.558

Look up the ΔE_f of the first one.
-0.198 eV/atom